(1)
The following is a DFT calculation (PBE) of an optimized crystal structure of Ni2TeRh.

Total energy: -5.34 eV per atom
SG: I-42d, No. 122

abc: 6.9447 6.9447 5.5415
angles: 51.20 51.20 90.00
Fractional coordinates of all 8 atoms:
Te (0.0000, 0.0000, 0.0000)
Te (0.7500, 0.2500, 0.5000)
Rh (0.5000, 0.5000, 0.0000)
Rh (0.2500, 0.7500, 0.5000)
Ni (0.6332, 0.1250, 0.2500)
Ni (0.8750, 0.8832, 0.7500)
Ni (0.3750, 0.3668, 0.7500)
Ni (0.1168, 0.6250, 0.2500)



(2)
The following is a DFT calculation (PBE) of an optimized crystal structure of NiTe2Rh.

Total energy: -5.07 eV per atom
SG: Ibam, No. 72

abc: 5.4414 5.6724 7.1666
angles: 113.31 112.31 90.00
Fractional coordinates of all 8 atoms:
Te (0.9023, 0.1384, 0.2767)
Te (0.3744, 0.6384, 0.2767)
Te (0.6256, 0.3616, 0.7233)
Te (0.0977, 0.8616, 0.7233)
Rh (0.5000, 0.7500, 0.0000)
Rh (0.5000, 0.2500, 0.0000)
Ni (0.0000, 0.7500, 0.0000)
Ni (0.0000, 0.2500, 0.0000)



(3)
The following is a DFT calculation (PBE) of an optimized crystal structure of Ni2TeRh.

Total energy: -5.37 eV per atom
SG: Pmmm, No. 47

abc: 3.1184 3.5542 5.3154
angles: 90.00 90.00 90.00
Last column: magnetic moment on the atom in μB.
Fractional coordinates of all 4 atoms:
Te (0.5000, 0.5000, 0.7500)  0.00
Ni (0.0000, 0.0000, 0.0106)  0.25
Ni (0.0000, 0.0000, 0.4894)  0.25
Rh (0.5000, 0.5000, 0.2500)  0.27



(4)
The following is a DFT calculation (PBE) of an optimized crystal structure of NiTe2Rh.

Total energy: -4.76 eV per atom
SG: P2/m, No. 10

abc: 3.3079 3.4074 7.3231
angles: 66.95 90.00 90.00
Fractional coordinates of all 4 atoms:
Te (0.0000, 0.3928, 0.4979)
Te (0.0000, 0.1072, 0.0021)
Ni (0.5000, 0.2500, 0.2500)
Rh (0.5000, 0.7500, 0.7500)



(5)
The following is a DFT calculation (PBE) of an optimized crystal structure of NiTe3Rh.

Total energy: -3.72 eV per atom
SG: Pm-3m, No. 221

abc: 5.1938 5.1938 5.1938
angles: 90.00 90.00 90.00
Last column: magnetic moment on the atom in μB.
Fractional coordinates of all 5 atoms:
Rh (0.0000, 0.0000, 0.0000)  0.06
Te (0.0000, 0.5000, 0.0000)  0.07
Te (0.0000, 0.0000, 0.5000)  0.07
Te (0.5000, 0.0000, 0.0000)  0.07
Ni (0.5000, 0.5000, 0.5000)  0.82



(6)
The following is a DFT calculation (PBE) of an optimized crystal structure of NiTe2Rh.

Total energy: -4.92 eV per atom
SG: P2/m, No. 10

abc: 3.8079 6.6075 5.3931
angles: 35.65 90.00 90.00
Fractional coordinates of all 4 atoms:
Rh (0.0000, 0.0000, 0.5000)
Ni (0.5000, 0.5000, 0.5000)
Te (0.5000, 0.5000, 0.0000)
Te (0.0000, 0.0000, 0.0000)



(7)
The following is a DFT calculation (PBE) of an optimized crystal structure of Ni2TeRh.

Total energy: -5.50 eV per atom
SG: I-4m2, No. 119

abc: 4.7133 4.7133 4.7133
angles: 132.01 132.01 70.22
Fractional coordinates of all 4 atoms:
Ni (0.0000, 0.0000, 0.0000)
Ni (0.2500, 0.7500, 0.5000)
Rh (0.5000, 0.5000, 0.0000)
Te (0.7500, 0.2500, 0.5000)



(8)
The following is a DFT calculation (PBE) of an optimized crystal structure of NiTe2Rh.

Total energy: -5.04 eV per atom
SG: Amm2, No. 38

abc: 4.8814 4.4405 4.4413
angles: 64.47 90.00 90.00
Fractional coordinates of all 4 atoms:
Te (0.0000, 0.8695, 0.8695)
Te (0.5000, 0.3815, 0.3814)
Ni (0.0000, 0.5247, 0.5248)
Rh (0.5000, 0.7242, 0.7243)



(9)
The following is a DFT calculation (PBE) of an optimized crystal structure of Ni2TeRh.

Total energy: -5.46 eV per atom
SG: F-43m, No. 216

abc: 4.3306 4.3306 4.3306
angles: 60.00 60.00 60.00
Fractional coordinates of all 4 atoms:
Ni (0.0000, 0.0000, 0.0000)
Ni (0.7500, 0.7500, 0.7500)
Rh (0.5000, 0.5000, 0.5000)
Te (0.2500, 0.2500, 0.2500)



(10)
The following is a DFT calculation (PBE) of an optimized crystal structure of Ni2TeRh.

Total energy: -5.31 eV per atom
SG: P2/m, No. 10

abc: 4.2302 3.0991 4.6277
angles: 82.91 90.00 90.00
Fractional coordinates of all 4 atoms:
Ni (0.0000, 0.9404, 0.0000)
Ni (0.0000, 0.5596, 0.5000)
Rh (0.5000, 0.2500, 0.2500)
Te (0.5000, 0.7500, 0.7500)



(11)
The following is a DFT calculation (PBE) of an optimized crystal structure of NiTeRh3.

Total energy: -4.96 eV per atom
SG: Pm-3m, No. 221

abc: 4.7979 4.7979 4.7979
angles: 90.00 90.00 90.00
Last column: magnetic moment on the atom in μB.
Fractional coordinates of all 5 atoms:
Ni (0.5000, 0.5000, 0.5000)  1.08
Rh (0.0000, 0.0000, 0.5000)  0.05
Rh (0.5000, 0.0000, 0.0000)  0.09
Rh (0.0000, 0.5000, 0.0000)  0.04
Te (0.0000, 0.0000, 0.0000)  -0.01



(12)
The following is a DFT calculation (PBE) of an optimized crystal structure of NiTe6Rh2.

Total energy: -4.67 eV per atom
SG: P-3m1, No. 164

abc: 5.4470 11.7969 11.7969
angles: 120.00 90.00 90.00
Fractional coordinates of all 27 atoms:
Rh (0.0000, 0.6629, 0.6629)
Rh (0.0000, 0.0000, 0.3371)
Rh (0.0000, 0.0000, 0.6629)
Rh (0.0000, 0.3371, 0.3371)
Rh (0.0000, 0.6629, 0.0000)
Rh (0.0000, 0.3371, 0.0000)
Te (0.2781, 0.5498, 0.4502)
Te (0.7334, 0.7834, 0.5668)
Te (0.7334, 0.7834, 0.2166)
Te (0.2666, 0.5668, 0.7834)
Te (0.2666, 0.2166, 0.7834)
Te (0.2781, 0.5498, 0.0997)
Te (0.2445, 0.8904, 0.1096)
Te (0.2445, 0.2191, 0.1096)
Te (0.7219, 0.4502, 0.5498)
Te (0.7219, 0.4502, 0.9003)
Te (0.7219, 0.0997, 0.5498)
Te (0.2666, 0.2166, 0.4332)
Te (0.7555, 0.7809, 0.8904)
Te (0.2445, 0.8904, 0.7809)
Te (0.7555, 0.1096, 0.8904)
Te (0.7555, 0.1096, 0.2191)
Te (0.2781, 0.9003, 0.4502)
Te (0.7334, 0.4332, 0.2166)
Ni (0.4956, 0.3333, 0.6667)
Ni (0.0000, 0.0000, 0.0000)
Ni (0.5044, 0.6667, 0.3333)



The records above give, respectively, uncorrected formation energy values of 0.170, -0.217, 0.146, 0.092, 0.791, -0.063, 0.009, -0.190, 0.054, 0.203, 1.232, -0.299 eV/atom.